A:
Here is an optimized crystal structure of Be2HgCl from Alexandria via LeMat-Bulk. Energies are from PBE.

Cell lengths 5.669, 5.669, 9.092 Å; angles 90.00, 90.00, 90.00 degrees
Space group I-42d (No. 122)
Unique sites:
Be (0.231, 0.250, 0.125)
Hg (0.000, 0.000, 0.500)
Cl (0.000, 0.000, 0.000)


B:
Here is an optimized crystal structure of Be2HgCl from Alexandria via LeMat-Bulk. Energies are from PBE.

Cell lengths 8.453, 3.188, 6.555 Å; angles 90.00, 126.78, 90.00 degrees
Space group C2/m (No. 12)
Unique sites:
Be (0.150, 0.000, 0.360)
Hg (0.000, 0.500, 0.500)
Cl (0.000, 0.500, 0.000)


C:
Here is an optimized crystal structure of Be2HgCl from Alexandria via LeMat-Bulk. Energies are from PBE.

Cell lengths 6.571, 6.571, 6.571 Å; angles 90.00, 90.00, 90.00 degrees
Space group Fm-3m (No. 225)
Unique sites:
Be (0.250, 0.250, 0.250)
Hg (0.000, 0.000, 0.000)
Cl (0.000, 0.000, 0.500)


B wins, 229 meV/atom ahead of the next structure.